(1)
15
Lattice="2.547 0.000 0.000 -1.273 2.205 0.000 0.000 0.000 31.170" Properties=species:S:1:pos:R:3 comment="PBE-GGA Cu4Ni, optimized geometry" polymorph_energy_ev_per_atom=0.000 pbc="T T T"
Cu 0.000 0.000 3.147
Cu 0.000 0.000 9.341
Cu 0.000 0.000 21.829
Cu 0.000 0.000 28.023
Cu 0.000 1.470 11.439
Cu 0.000 1.470 17.633
Cu 0.000 1.470 23.927
Cu 0.000 1.470 30.121
Cu 1.273 0.735 1.049
Cu 1.273 0.735 7.243
Cu 1.273 0.735 13.537
Cu 1.273 0.735 19.731
Ni 0.000 0.000 15.585
Ni 0.000 1.470 5.195
Ni 1.273 0.735 25.975

(2)
9
Lattice="-3.786 3.786 1.786 3.786 -3.786 1.786 3.786 3.786 -1.786" Properties=species:S:1:pos:R:3 comment="PBE-GGA Cu5Ni4, optimized geometry" polymorph_energy_ev_per_atom=0.000 pbc="T T T"
Cu 0.000 0.000 0.000
Cu 2.516 2.516 0.000
Cu 1.270 -1.270 1.786
Cu -1.270 1.270 1.786
Cu 1.270 1.270 1.786
Ni 2.565 0.000 0.000
Ni 5.007 0.000 0.000
Ni 0.000 2.565 0.000
Ni 0.000 5.007 0.000

(3)
11
Lattice="3.610 -4.661 0.000 3.610 4.661 0.000 -1.684 0.000 3.855" Properties=species:S:1:pos:R:3 comment="PBE-GGA Cu6Ni5, optimized geometry" polymorph_energy_ev_per_atom=0.101 pbc="T T T"
Cu 0.294 1.320 2.442
Cu 1.141 0.000 0.510
Cu 0.294 -1.320 2.442
Cu 5.242 1.320 1.413
Cu 4.396 0.000 3.345
Cu 5.242 -1.320 1.413
Ni 3.610 2.509 0.000
Ni 2.768 1.222 1.927
Ni 3.610 0.000 0.000
Ni 2.768 -1.222 1.927
Ni 3.610 -2.509 0.000

(4)
14
Lattice="12.010 0.000 0.000 0.000 2.460 0.000 -2.808 0.000 5.528" Properties=species:S:1:pos:R:3 comment="PBE-GGA Cu4Ni3, optimized geometry" polymorph_energy_ev_per_atom=0.043 pbc="T T T"
Cu 0.360 0.000 1.133
Cu -0.872 1.230 4.974
Cu 4.068 0.000 0.553
Cu 2.836 1.230 4.395
Cu 6.365 1.230 1.133
Cu 5.133 0.000 4.974
Cu 10.073 1.230 0.553
Cu 8.841 0.000 4.395
Ni -1.404 0.000 2.764
Ni 0.855 0.000 3.550
Ni 2.341 1.230 1.978
Ni 4.601 1.230 2.764
Ni 6.860 1.230 3.550
Ni 8.346 0.000 1.978

| no. | formation energy from the elements (eV/atom) | size of the total moment (μB per formula unit) | DOS at the Fermi energy (states/eV per cell) |
| --- | --- | --- | --- |
| 1 | 0.01 | 0.4 | 9.6 |
| 2 | 0.02 | 0.7 | 10.9 |
| 3 | 0.12 | 0.9 | 14.6 |
| 4 | 0.11 | 0.6 | 16.3 |